Entry 1:
Below is a relaxed Li5SbS crystal, with properties calculated at the PBE-GGA level.

## Properties
SG: P4/mmm
M_tot: 0.0 Bohr magnetons per cell
Energy: -3.43 eV/atom

a = 4.3070 Å, b = 4.3070 Å, c = 6.4172 Å
α = 90.00°, β = 90.00°, γ = 90.00°
Closest atoms and distances in Å follow each position.
Fractional coordinates of all 7 atoms:
Li (0.0000, 0.0000, 0.0000)  8 Li 2.83, 4 Sb 3.05
Li (0.0000, 0.5000, 0.2864)  2 S 2.55, 3 Li 2.74-2.83, 2 Sb 2.83
Li (0.0000, 0.5000, 0.7136)  2 S 2.55, 3 Li 2.74-2.83, 2 Sb 2.83
Li (0.5000, 0.0000, 0.2864)  2 S 2.55, 3 Li 2.74-2.83, 2 Sb 2.83
Li (0.5000, 0.0000, 0.7136)  2 S 2.55, 3 Li 2.74-2.83, 2 Sb 2.83
Sb (0.5000, 0.5000, 0.0000)  12 Li 2.83-3.05
S (0.0000, 0.0000, 0.5000)  8 Li 2.55

***

Entry 2:
Below is a relaxed Tc3IN crystal, with properties calculated at the PBE-GGA level.

## Properties
SG: Pm-3m
Fermi-level density of states: 2.03 states/eV/atom
M_tot: 3.5 Bohr magnetons per cell
Energy: -4.91 eV/atom

a = 4.8289 Å, b = 4.8289 Å, c = 4.8289 Å
α = 90.00°, β = 90.00°, γ = 90.00°
Closest atoms and distances in Å follow each position.
Fractional coordinates of all 5 atoms:
Tc (0.0000, 0.0000, 0.5000)  2 I 2.41
Tc (0.0000, 0.5000, 0.0000)  2 I 2.41
Tc (0.5000, 0.0000, 0.0000)  2 I 2.41
I (0.0000, 0.0000, 0.0000)  6 Tc 2.41
N (0.5000, 0.5000, 0.5000)  12 Tc 3.41

***

Entry 3:
Below is a relaxed TePSe2Br crystal, with properties calculated at the PBE-GGA level.

## Properties
SG: P4/mmm
Fermi-level density of states: 0.51 states/eV/atom
M_tot: 0.0 Bohr magnetons per cell
Energy: -3.04 eV/atom

a = 4.9999 Å, b = 4.9999 Å, c = 4.8620 Å
α = 90.00°, β = 90.00°, γ = 90.00°
Closest atoms and distances in Å follow each position.
Fractional coordinates of all 5 atoms:
Te (0.0000, 0.0000, 0.0000)  8 Se 3.49, 4 Br 3.54
P (0.5000, 0.5000, 0.5000)  2 Br 2.43, 4 Se 2.50
Se (0.0000, 0.5000, 0.5000)  2 P 2.50
Se (0.5000, 0.0000, 0.5000)  2 P 2.50
Br (0.5000, 0.5000, 0.0000)  2 P 2.43

***

Entry 4:
Below is a relaxed ErSc4In crystal, with properties calculated at the PBE-GGA level.

## Properties
SG: Cmmm
Formation enthalpy at 0 K: -0.17 eV/atom
Fermi-level density of states: 1.35 states/eV/atom
M_tot: 0.0 Bohr magnetons per cell
Energy: -5.60 eV/atom

a = 7.4347 Å, b = 7.4347 Å, c = 4.5726 Å
α = 90.00°, β = 90.00°, γ = 144.12°
Closest atoms and distances in Å follow each position.
Fractional coordinates of all 6 atoms:
Er (0.0000, 0.0000, 0.0000)  4 In 3.24, 8 Sc 3.27-3.36
Sc (0.1657, 0.8343, 0.5000)  8 Sc 3.22-3.31, 2 Er 3.27, 2 In 3.28
Sc (0.3263, 0.6737, 0.0000)  8 Sc 3.15-3.24, 2 In 3.36, 2 Er 3.36
Sc (0.6737, 0.3263, 0.0000)  8 Sc 3.15-3.24, 2 In 3.36, 2 Er 3.36
Sc (0.8343, 0.1657, 0.5000)  8 Sc 3.22-3.31, 2 Er 3.27, 2 In 3.28
In (0.5000, 0.5000, 0.5000)  4 Er 3.24, 8 Sc 3.28-3.36

***

Entry 5:
Below is a relaxed BC3 crystal, with properties calculated at the PBE-GGA level.

## Properties
SG: Cm
Formation enthalpy at 0 K: 0.35 eV/atom
Fermi-level density of states: 0.15 states/eV/atom
M_tot: 0.0 Bohr magnetons per cell
Energy: -8.24 eV/atom

a = 4.4413 Å, b = 4.4413 Å, c = 4.5762 Å
α = 99.52°, β = 99.52°, γ = 119.26°
Closest atoms and distances in Å follow each position.
Fractional coordinates of all 12 atoms:
B (0.0000, 0.0000, 0.0000)  2 C 1.55-1.58
B (0.3247, 0.9750, 0.8295)  3 C 1.58-1.64
B (0.9750, 0.3247, 0.8295)  3 C 1.58-1.64
C (0.1448, 0.1448, 0.3570)  1 B 1.55, 3 C 1.56-1.57
C (0.1803, 0.8437, 0.4631)  3 C 1.56-1.58, 1 B 1.59
C (0.3581, 0.6824, 0.9858)  2 C 1.55-1.56, 2 B 1.58-1.64
C (0.4747, 0.8051, 0.3448)  4 C 1.55-1.58
C (0.5146, 0.5146, 0.4762)  4 C 1.57-1.59
C (0.6300, 0.6300, 0.8437)  3 C 1.56-1.59, 1 B 1.58
C (0.6824, 0.3581, 0.9858)  2 C 1.55-1.56, 2 B 1.58-1.64
C (0.8051, 0.4747, 0.3448)  4 C 1.55-1.58
C (0.8437, 0.1803, 0.4631)  3 C 1.56-1.58, 1 B 1.59

***

Entry 6:
Below is a relaxed LaNbCd3 crystal, with properties calculated at the PBE-GGA level.

## Properties
SG: Pm-3m
Formation enthalpy at 0 K: 0.51 eV/atom
Fermi-level density of states: 1.53 states/eV/atom
M_tot: 0.0 Bohr magnetons per cell
Energy: -3.04 eV/atom

a = 5.3129 Å, b = 5.3129 Å, c = 5.3129 Å
α = 90.00°, β = 90.00°, γ = 90.00°
Closest atoms and distances in Å follow each position.
Fractional coordinates of all 5 atoms:
La (0.0000, 0.0000, 0.0000)  12 Cd 3.76
Nb (0.5000, 0.5000, 0.5000)  6 Cd 2.66
Cd (0.0000, 0.5000, 0.5000)  2 Nb 2.66
Cd (0.5000, 0.0000, 0.5000)  2 Nb 2.66
Cd (0.5000, 0.5000, 0.0000)  2 Nb 2.66

***

Entry 7:
Below is a relaxed AcPmZnAu crystal, with properties calculated at the PBE-GGA level.

## Properties
SG: F-43m
Formation enthalpy at 0 K: -0.49 eV/atom
Fermi-level density of states: 0.77 states/eV/atom
M_tot: 0.0 Bohr magnetons per cell
Energy: -3.84 eV/atom

a = 5.3837 Å, b = 5.3837 Å, c = 5.3837 Å
α = 60.00°, β = 60.00°, γ = 60.00°
Closest atoms and distances in Å follow each position.
Fractional coordinates of all 4 atoms:
Ac (0.0000, 0.0000, 0.0000)  4 Zn 3.30, 4 Au 3.30
Pm (0.5000, 0.5000, 0.5000)  4 Zn 3.30, 4 Au 3.30
Zn (0.7500, 0.7500, 0.7500)  4 Ac 3.30, 4 Pm 3.30
Au (0.2500, 0.2500, 0.2500)  4 Ac 3.30, 4 Pm 3.30

***

Entry 8:
Below is a relaxed AcAs2RhO8 crystal, with properties calculated at the PBE-GGA level.

## Properties
SG: C2/m
M_tot: 0.0 Bohr magnetons per cell
Energy: -6.66 eV/atom

a = 5.0101 Å, b = 5.0101 Å, c = 7.4586 Å
α = 92.65°, β = 92.65°, γ = 67.84°
Closest atoms and distances in Å follow each position.
Fractional coordinates of all 12 atoms:
Ac (0.0000, 0.0000, 0.0000)  6 O 2.57-2.58
As (0.3663, 0.3663, 0.7018)  4 O 1.70-1.76
As (0.6337, 0.6337, 0.2982)  4 O 1.70-1.76
Rh (0.0000, 0.0000, 0.5000)  6 O 2.03-2.07
O (0.2374, 0.7449, 0.7067)  1 As 1.76
O (0.2443, 0.2443, 0.5116)  1 As 1.70
O (0.2551, 0.7626, 0.2933)  1 As 1.76
O (0.2955, 0.2955, 0.9144)  1 As 1.72
O (0.7045, 0.7045, 0.0856)  1 As 1.72
O (0.7449, 0.2374, 0.7067)  1 As 1.76
O (0.7557, 0.7557, 0.4884)  1 As 1.70
O (0.7626, 0.2551, 0.2933)  1 As 1.76